1.
DFT (PBE-GGA) results for PuSi2Rh after structural relaxation.

a b c (Å): 4.066 4.066 5.489
angles (deg): 68.26 68.26 60.00
Site moments in Bohr magnetons follow the coordinates.
Fractional positions:
Si 0.787 0.787 0.639  -0.03
Si 0.213 0.213 0.361  -0.03
Rh 0.500 0.500 0.500  -0.05
Pu 0.000 0.000 0.000  5.07

Formation energy without anion corrections   -68.13 kJ per mole of atoms
SG   R-3m (166)

***

2.
DFT (PBE-GGA) results for Tm3Zn2Ni4 after structural relaxation.

a b c (Å): 4.118 5.138 8.079
angles (deg): 97.04 90.00 113.62
Fractional positions:
Tm 0.375 0.750 0.621
Tm 0.000 0.000 0.000
Tm 0.625 0.250 0.379
Ni 0.729 0.458 0.084
Ni 0.271 0.542 0.916
Ni 0.918 0.835 0.368
Ni 0.082 0.165 0.632
Zn 0.317 0.634 0.225
Zn 0.683 0.366 0.775

SG   C2/m (12)
Formation enthalpy at 0 K   -402 kJ/mol of formula units

***

3.
DFT (PBE-GGA) results for Ca2MnCd after structural relaxation.

a b c (Å): 5.235 5.235 5.235
angles (deg): 60.00 60.00 60.00
Site moments in Bohr magnetons follow the coordinates.
Fractional positions:
Ca 0.250 0.250 0.250  -0.01
Ca 0.000 0.000 0.000  0.01
Cd 0.500 0.500 0.500  -0.02
Mn 0.750 0.750 0.750  4.04

SG   F-43m (216)
Formation enthalpy at 0 K   70 kJ/mol of formula units

***

4.
DFT (PBE-GGA) results for Pm2DyH after structural relaxation.

a b c (Å): 3.421 3.421 8.578
angles (deg): 90.00 90.00 90.00
Fractional positions:
Pm 0.000 0.000 0.809
Pm 0.000 0.000 0.191
H 0.500 0.500 0.000
Dy 0.500 0.500 0.500

SG   P4/mmm (123)
Distance to the lowest polymorph of the same formula   0.249 eV per atom

***

5.
DFT (PBE-GGA) results for Rb2TaAlS5 after structural relaxation.

a b c (Å): 3.659 9.692 14.485
angles (deg): 90.00 90.00 100.88
Fractional positions:
S 0.283 0.566 0.639
S 0.926 0.852 0.535
S 0.305 0.609 0.406
S 0.512 0.025 0.814
S 0.717 0.434 0.139
S 0.488 0.975 0.314
S 0.695 0.391 0.906
S 0.074 0.148 0.035
S 0.337 0.673 0.995
S 0.663 0.327 0.495
Rb 0.900 0.800 0.170
Rb 0.100 0.200 0.670
Rb 0.872 0.743 0.803
Rb 0.128 0.257 0.303
Al 0.575 0.150 0.938
Al 0.425 0.850 0.438
Ta 0.779 0.557 0.525
Ta 0.221 0.443 0.025

Formation energy without anion corrections   -107.47 kJ per mole of atoms
SG   Cmc2_1 (36)

***

6.
DFT (PBE-GGA) results for Pm4DyTm2 after structural relaxation.

a b c (Å): 12.490 12.490 6.767
angles (deg): 97.02 97.02 150.17
Fractional positions:
Pm 0.041 0.150 0.605
Pm 0.150 0.041 0.105
Pm 0.794 0.185 0.395
Pm 0.563 0.601 0.140
Pm 0.173 0.711 0.361
Pm 0.185 0.794 0.895
Pm 0.601 0.563 0.640
Pm 0.711 0.173 0.861
Tm 0.302 0.620 0.950
Tm 0.920 0.102 0.050
Tm 0.620 0.302 0.450
Tm 0.102 0.920 0.550
Dy 0.674 0.424 0.000
Dy 0.424 0.674 0.500

SG   Fdd2 (43)
Formation enthalpy at 0 K   38 kJ/mol of formula units
Distance to the lowest polymorph of the same formula   0.000 eV per atom

***

7.
DFT (PBE-GGA) results for LaNbAs2Se after structural relaxation.

a b c (Å): 4.966 4.966 5.157
angles (deg): 90.00 90.00 90.00
Fractional positions:
As 0.500 0.000 0.000
As 0.000 0.500 0.000
Nb 0.000 0.000 0.000
Se 0.000 0.000 0.500
La 0.500 0.500 0.500

Formation energy without anion corrections   -64.19 kJ per mole of atoms
SG   P4/mmm (123)
Distance to the lowest polymorph of the same formula   0.000 eV per atom

***

8.
DFT (PBE-GGA) results for LiIn2Au2 after structural relaxation.

a b c (Å): 8.193 8.193 3.206
angles (deg): 90.00 90.00 90.00
Fractional positions:
Au 0.664 0.836 0.500
Au 0.164 0.664 0.500
Au 0.336 0.164 0.500
Au 0.836 0.336 0.500
In 0.863 0.637 0.000
In 0.137 0.363 0.000
In 0.637 0.137 0.000
In 0.363 0.863 0.000
Li 0.500 0.500 0.000
Li 0.000 0.000 0.000

SG   P4/mbm (127)
Formation enthalpy at 0 K   -98 kJ/mol of formula units
Distance to the lowest polymorph of the same formula   0.153 eV per atom

***

no.,ρ (g/cm³),total magnetic moment (μB per atom),E (eV/cell)
1,9.42,1.309,-35.354
2,9.33,0.000,-43.250
3,4.05,1.114,-13.359
4,7.50,0.000,-17.094
5,3.55,0.000,-96.384
6,7.77,0.000,-64.306
7,6.02,0.000,-31.107
8,9.73,0.000,-29.922